No. 1
# PBE Dy2Si4Ni3Os, optimized geometry
data_Dy2Si4Ni3Os
_chemical_formula_sum 'Dy2 Si4 Ni3 Os1'
_cell_length_a 3.977
_cell_length_b 3.977
_cell_length_c 9.680
_cell_angle_alpha 90.00
_cell_angle_beta 90.00
_cell_angle_gamma 90.00
_space_group_name_H-M_alt 'P -4 m 2'
_space_group_IT_number 115
loop_
_space_group_symop_operation_xyz
'x,y,z'
'y,-x,-z'
'-x,-y,z'
'-y,x,-z'
'-x,y,z'
'-y,-x,-z'
'x,-y,z'
'y,x,-z'
loop_
_atom_site_label
_atom_site_fract_x
_atom_site_fract_y
_atom_site_fract_z
Dy1 0.000 0.500 0.241
Si1 0.000 0.000 0.000
Si2 0.000 0.500 0.636
Si3 0.500 0.500 0.000
Ni1 0.000 0.500 0.876
Ni2 0.500 0.500 0.500
Os1 0.000 0.000 0.500
# Volume ... 15.31 A^3/atom
# Spin magnetization ... 0.0 Bohr magnetons per cell
# E ... -67.77 eV per formula unit
# Formation energy (no corrections) ... -0.83 eV per atom
# DOS at the Fermi energy ... 3.40 states/eV/f.u.

---

No. 2
# PBE TbDyNiOs, optimized geometry
data_TbDyNiOs
_chemical_formula_sum 'Tb4 Dy4 Ni4 Os4'
_cell_length_a 6.805
_cell_length_b 6.805
_cell_length_c 6.805
_cell_angle_alpha 90.00
_cell_angle_beta 90.00
_cell_angle_gamma 90.00
_space_group_name_H-M_alt 'F -4 3 m'
_space_group_IT_number 216
_space_group_name_Hall 'F -4 2 3'
loop_
_atom_site_label
_atom_site_fract_x
_atom_site_fract_y
_atom_site_fract_z
Tb1 0.000 0.000 0.000
Dy1 0.000 0.000 0.500
Ni1 0.250 0.250 0.750
Os1 0.250 0.250 0.250
# Volume ... 19.69 A^3/atom
# Spin magnetization ... 0.0 Bohr magnetons per cell
# DFT formation energy ... -0.2806 eV per atom
# E ... -27.37 eV per formula unit
# DOS at the Fermi energy ... 1.96 states/eV/f.u.

---

E of number 1 (Dy2Si4Ni3Os)? -67.77 eV per formula unit

---

Among the records above, which one has the highest E? TbDyNiOs

---

Among the records above, which one has the lowest E? Dy2Si4Ni3Os

---

What did the first record say?
# PBE Dy2Si4Ni3Os, optimized geometry
data_Dy2Si4Ni3Os
_chemical_formula_sum 'Dy2 Si4 Ni3 Os1'
_cell_length_a 3.977
_cell_length_b 3.977
_cell_length_c 9.680
_cell_angle_alpha 90.00
_cell_angle_beta 90.00
_cell_angle_gamma 90.00
_space_group_name_H-M_alt 'P -4 m 2'
_space_group_IT_number 115
loop_
_space_group_symop_operation_xyz
'x,y,z'
'y,-x,-z'
'-x,-y,z'
'-y,x,-z'
'-x,y,z'
'-y,-x,-z'
'x,-y,z'
'y,x,-z'
loop_
_atom_site_label
_atom_site_fract_x
_atom_site_fract_y
_atom_site_fract_z
Dy1 0.000 0.500 0.241
Si1 0.000 0.000 0.000
Si2 0.000 0.500 0.636
Si3 0.500 0.500 0.000
Ni1 0.000 0.500 0.876
Ni2 0.500 0.500 0.500
Os1 0.000 0.000 0.500
# Volume ... 15.31 A^3/atom
# Spin magnetization ... 0.0 Bohr magnetons per cell
# E ... -67.77 eV per formula unit
# Formation energy (no corrections) ... -0.83 eV per atom
# DOS at the Fermi energy ... 3.40 states/eV/f.u.